No. 1
! PBEsol FeRuN2F, relaxed; values from VASP
&SYSTEM
  ibrav = 0, nat = 5, ntyp = 4
/
ATOMIC_SPECIES
N 14.01 N.upf
Ru 101.07 Ru.upf
Fe 55.84 Fe.upf
F 19.00 F.upf
CELL_PARAMETERS angstrom
3.6898 0.0000 0.0000
0.0000 3.6386 0.0000
0.0000 0.0000 3.6386
ATOMIC_POSITIONS crystal
N 0.0000 0.5000 0.0000
N 0.0000 0.0000 0.5000
Ru 0.5000 0.5000 0.5000
Fe 0.0000 0.0000 0.0000
F 0.5000 0.0000 0.0000
! Symmetry: No. 123
! Formation energy without anion corrections in eV per atom: 0.64
! Crystal system: tetragonal


No. 2
! PBEsol MoC3Br, relaxed; values from VASP
&SYSTEM
  ibrav = 0, nat = 5, ntyp = 3
/
ATOMIC_SPECIES
C 12.01 C.upf
Br 79.90 Br.upf
Mo 95.94 Mo.upf
CELL_PARAMETERS angstrom
-1.3110 3.0797 -1.8482
-3.5462 -0.7978 1.1861
0.5697 2.1209 3.1299
ATOMIC_POSITIONS crystal
C 0.5000 0.0000 0.0000
C 0.0000 0.0000 0.5000
C 0.0000 0.5000 0.0000
Br 0.0000 0.0000 0.0000
Mo 0.5000 0.5000 0.5000
! Symmetry: No. 221
! Formation energy without anion corrections in eV per atom: 3.38
! Crystal system: cubic
! Energy above the lowest structure with this stoichiometry in eV/atom: 1.179


No. 3
! PBEsol Al2Cr, relaxed; values from VASP
&SYSTEM
  ibrav = 0, nat = 3, ntyp = 2
/
ATOMIC_SPECIES
Cr 52.00 Cr.upf
Al 26.98 Al.upf
CELL_PARAMETERS angstrom
2.5644 0.0000 0.0000
0.0000 4.2650 0.0000
0.0000 -2.1325 3.6936
ATOMIC_POSITIONS crystal
Cr 0.5000 0.0000 0.0000
Al 0.0000 0.6667 0.3333
Al 0.0000 0.3333 0.6667
! Formation energy from the elements in meV/atom: 66
! Symmetry: No. 191
! Crystal system: hexagonal


Per-record total moment, μB/f.u.: 1.2 1.4 0.0